[1]
## YHgB (PBE)

Data for YHgB after structural relaxation.

Computed properties:
Excess energy over the best structure of this formula in the dataset, eV per formula unit: 0.74
Energy relative to the elements, eV/atom: -0.1748
Crystal system: triclinic
Total DFT energy (no corrections), eV/atom: -4.656
Total moment, μB per cell: 0.00
Space-group type: No. 1

Cell: 5.8406 7.2905 3.2209 Å, 102.84 89.88 66.42°
Last column: nearest neighbours and their distance in Å.
Fractional coordinates of all 6 atoms:
B 0.2282 0.8257 0.1829  2 B 1.70
B 0.2702 0.7420 0.6409  2 B 1.70
Hg 0.7712 0.0271 0.2794  1 B 2.46
Hg 0.0147 0.5411 0.5378  1 B 2.45
Y 0.5790 0.4692 0.0026  3 B 2.52-2.60
Y 0.2633 0.0991 0.8199  3 B 2.52-2.60

[2]
## YHgB (PBE)

Data for YHgB after structural relaxation.

Computed properties:
Excess energy over the best structure of this formula in the dataset, eV per formula unit: 1.91
Energy relative to the elements, eV/atom: 0.2166
Crystal system: hexagonal
Total DFT energy (no corrections), eV/atom: -4.265
Total moment, μB per cell: 0.00
Space-group type: No. 194

Cell: 4.7059 4.7059 5.9008 Å, 90.00 90.00 120.00°
Last column: nearest neighbours and their distance in Å.
Fractional coordinates of all 6 atoms:
B 0.6667 0.3333 0.7500  5 Y 2.72-2.95
B 0.3333 0.6667 0.2500  5 Y 2.72-2.95
Y 0.6667 0.3333 0.2500  5 B 2.72-2.95
Y 0.3333 0.6667 0.7500  5 B 2.72-2.95
Hg 0.0000 0.0000 0.5000  2 Hg 2.95, 6 B 3.09, 6 Y 3.09
Hg 0.0000 0.0000 0.0000  2 Hg 2.95, 6 B 3.09, 6 Y 3.09

[3]
## YHgB (PBE)

Data for YHgB after structural relaxation.

Computed properties:
Excess energy over the best structure of this formula in the dataset, eV per formula unit: 0.49
Energy relative to the elements, eV/atom: -0.2569
Crystal system: monoclinic
Total DFT energy (no corrections), eV/atom: -4.738
Total moment, μB per cell: 0.00
Space-group type: No. 6

Cell: 7.9991 4.7050 3.2748 Å, 90.00 101.72 90.02°
Last column: nearest neighbours and their distance in Å.
Fractional coordinates of all 6 atoms:
Y 0.1184 0.9772 0.7905  3 B 2.54-2.56
Y 0.5108 0.4767 0.4854  2 B 2.60
Hg 0.9465 0.4771 0.2050  2 Hg 2.86, 4 Y 3.17
Hg 0.7385 0.9769 0.0980  1 B 2.32
B 0.3698 0.9766 0.4148  2 B 1.73-1.74
B 0.4427 0.9762 0.9514  2 B 1.73-1.74

[4]
## YHgB (PBE)

Data for YHgB after structural relaxation.

Computed properties:
Excess energy over the best structure of this formula in the dataset, eV per formula unit: 1.10
Energy relative to the elements, eV/atom: -0.0537
Crystal system: cubic
Total DFT energy (no corrections), eV/atom: -4.535
Total moment, μB per cell: 0.00
Space-group type: No. 216

Cell: 4.3400 4.3400 4.3400 Å, 60.00 60.00 60.00°
Last column: nearest neighbours and their distance in Å.
Fractional coordinates of all 3 atoms:
Hg 0.7500 0.7500 0.7500  4 B 2.66
Y 0.2500 0.2500 0.2500  4 B 2.66
B 0.0000 0.0000 0.0000  4 Hg 2.66, 4 Y 2.66

[5]
## Y2ZnHgB (PBE)

Data for Y2ZnHgB after structural relaxation.

Computed properties:
Energy relative to the elements, eV/atom: 0.8994
Crystal system: tetragonal
Total DFT energy (no corrections), eV/atom: -3.337
Total moment, μB per cell: 0.00
Space-group type: No. 123

Cell: 5.3352 5.3352 4.7479 Å, 90.00 90.00 90.00°
Last column: nearest neighbours and their distance in Å.
Fractional coordinates of all 5 atoms:
Hg 0.0000 0.0000 0.5000  2 Zn 2.37
Y 0.0000 0.5000 0.0000  2 Zn 2.67
Y 0.5000 0.0000 0.0000  2 Zn 2.67
B 0.5000 0.5000 0.5000  8 Y 3.57, 4 Hg 3.77
Zn 0.0000 0.0000 0.0000  2 Hg 2.37

[6]
## ZnHg2B (PBE)

Data for ZnHg2B after structural relaxation.

Computed properties:
Excess energy over the best structure of this formula in the dataset, eV per formula unit: 0.97
Energy relative to the elements, eV/atom: 1.0102
Crystal system: cubic
Total DFT energy (no corrections), eV/atom: -1.129
Total moment, μB per cell: 0.00
Space-group type: No. 225

Cell: 4.6987 4.6987 4.6987 Å, 60.00 60.00 60.00°
Last column: nearest neighbours and their distance in Å.
Fractional coordinates of all 4 atoms:
Hg 0.2500 0.2500 0.2500  4 Zn 2.88, 4 B 2.88
Hg 0.7500 0.7500 0.7500  4 Zn 2.88, 4 B 2.88
B 0.0000 0.0000 0.0000  8 Hg 2.88
Zn 0.5000 0.5000 0.5000  8 Hg 2.88

[7]
## Zn2Hg2B (PBE)

Data for Zn2Hg2B after structural relaxation.

Computed properties:
Excess energy over the best structure of this formula in the dataset, eV per formula unit: 3.22
Energy relative to the elements, eV/atom: 1.0203
Crystal system: tetragonal
Total DFT energy (no corrections), eV/atom: -0.945
Total moment, μB per cell: 0.00
Space-group type: No. 139

Cell: 4.0419 4.0419 7.0520 Å, 73.35 73.35 90.00°
Last column: nearest neighbours and their distance in Å.
Fractional coordinates of all 5 atoms:
Zn 0.5917 0.5917 0.8165  1 Zn 2.37
Zn 0.4083 0.4083 0.1835  1 Zn 2.37
Hg 0.7500 0.2500 0.5000  4 Hg 2.86, 4 Zn 2.87
Hg 0.2500 0.7500 0.5000  4 Hg 2.86, 4 Zn 2.87
B 0.0000 0.0000 0.0000  8 Zn 3.09

[8]
## Zn2Hg2B (PBE)

Data for Zn2Hg2B after structural relaxation.

Computed properties:
Excess energy over the best structure of this formula in the dataset, eV per formula unit: 0.00
Energy relative to the elements, eV/atom: 0.3773
Crystal system: tetragonal
Total DFT energy (no corrections), eV/atom: -1.589
Total moment, μB per cell: 0.00
Space-group type: No. 127

Cell: 5.8457 5.8457 5.9675 Å, 90.00 90.00 90.00°
Last column: nearest neighbours and their distance in Å.
Fractional coordinates of all 10 atoms:
Zn 0.7453 0.7547 0.0000  2 B 2.07
Zn 0.2453 0.7453 0.0000  2 B 2.07
Zn 0.2547 0.2453 0.0000  2 B 2.07
Zn 0.7547 0.2547 0.0000  2 B 2.07
B 0.5000 0.5000 0.0000  4 Zn 2.07
B 0.0000 0.0000 0.0000  4 Zn 2.07
Hg 0.8089 0.3089 0.5000  5 Hg 3.00-3.16, 2 Zn 3.02
Hg 0.3089 0.1911 0.5000  5 Hg 3.00-3.16, 2 Zn 3.02
Hg 0.6911 0.8089 0.5000  5 Hg 3.00-3.16, 2 Zn 3.02
Hg 0.1911 0.6911 0.5000  5 Hg 3.00-3.16, 2 Zn 3.02

[9]
## ZnHg2B (PBE)

Data for ZnHg2B after structural relaxation.

Computed properties:
Excess energy over the best structure of this formula in the dataset, eV per formula unit: 0.00
Energy relative to the elements, eV/atom: 0.7671
Crystal system: tetragonal
Total DFT energy (no corrections), eV/atom: -1.372
Total moment, μB per cell: 0.00
Space-group type: No. 122

Cell: 5.8064 5.8064 7.0529 Å, 65.69 65.69 90.00°
Last column: nearest neighbours and their distance in Å.
Fractional coordinates of all 8 atoms:
B 0.5000 0.5000 0.0000  4 Hg 2.22
B 0.2500 0.7500 0.5000  4 Hg 2.22
Hg 0.3750 0.4737 0.7500  2 B 2.22
Hg 0.8750 0.7763 0.7500  2 B 2.22
Hg 0.2237 0.6250 0.2500  2 B 2.22
Hg 0.5263 0.1250 0.2500  2 B 2.22
Zn 0.7500 0.2500 0.5000  4 Hg 2.87
Zn 0.0000 0.0000 0.0000  4 Hg 2.87

[10]
## Zn2HgB (PBE)

Data for Zn2HgB after structural relaxation.

Computed properties:
Excess energy over the best structure of this formula in the dataset, eV per formula unit: 1.34
Energy relative to the elements, eV/atom: 0.9118
Crystal system: cubic
Total DFT energy (no corrections), eV/atom: -1.470
Total moment, μB per cell: 0.00
Space-group type: No. 225

Cell: 4.4831 4.4831 4.4831 Å, 60.00 60.00 60.00°
Last column: nearest neighbours and their distance in Å.
Fractional coordinates of all 4 atoms:
B 0.0000 0.0000 0.0000  8 Zn 2.75
Zn 0.7500 0.7500 0.7500  4 Hg 2.75, 4 B 2.75
Zn 0.2500 0.2500 0.2500  4 Hg 2.75, 4 B 2.75
Hg 0.5000 0.5000 0.5000  8 Zn 2.75

[11]
## Zn2HgB (PBE)

Data for Zn2HgB after structural relaxation.

Computed properties:
Excess energy over the best structure of this formula in the dataset, eV per formula unit: 0.00
Energy relative to the elements, eV/atom: 0.5760
Crystal system: tetragonal
Total DFT energy (no corrections), eV/atom: -1.806
Total moment, μB per cell: 0.00
Space-group type: No. 122

Cell: 4.9884 4.9884 7.2703 Å, 69.94 69.94 90.00°
Last column: nearest neighbours and their distance in Å.
Fractional coordinates of all 8 atoms:
Zn 0.2802 0.6250 0.2500  2 B 2.07
Zn 0.3750 0.5302 0.7500  2 B 2.07
Zn 0.4698 0.1250 0.2500  2 B 2.07
Zn 0.8750 0.7198 0.7500  2 B 2.07
B 0.5000 0.5000 0.0000  4 Zn 2.07
B 0.2500 0.7500 0.5000  4 Zn 2.07
Hg 0.0000 0.0000 0.0000  4 Zn 2.86
Hg 0.7500 0.2500 0.5000  4 Zn 2.86

[12]
## ZrHgB2 (PBE)

Data for ZrHgB2 after structural relaxation.

Computed properties:
Energy relative to the elements, eV/atom: 0.8780
Crystal system: tetragonal
Total DFT energy (no corrections), eV/atom: -4.673
Total moment, μB per cell: 0.00
Space-group type: No. 122

Cell: 4.2760 4.2760 7.7437 Å, 73.97 73.97 90.00°
Last column: nearest neighbours and their distance in Å.
Fractional coordinates of all 8 atoms:
B 0.8750 0.9549 0.7500  2 Hg 2.20
B 0.3750 0.2951 0.7500  2 Hg 2.20
B 0.7049 0.1250 0.2500  2 Hg 2.20
B 0.0451 0.6250 0.2500  2 Hg 2.20
Zr 0.5000 0.5000 0.0000  4 B 2.51
Zr 0.2500 0.7500 0.5000  4 B 2.51
Hg 0.7500 0.2500 0.5000  4 B 2.20
Hg 0.0000 0.0000 0.0000  4 B 2.20